(1)
First-principles (PBE-GGA) data for a relaxed MgCoSi2 crystal, as listed in the Alexandria database.

For the energy relative to the elements, uncorrected, the calculation gives 0.0012 eV/atom. The value obtained for the total energy is -4.8855 eV/atom. For the density of states at the Fermi level, the calculation gives 4.11 states/eV per cell.

The space group is Immm (No. 71) and the conventional cell measures 2.718, 4.693 and 8.941 Å, with angles of 90.00, 90.00 and 90.00 degrees. The distinct sites, in fractional coordinates, are Mg at (0.000, 0.000, 0.000), Co at (0.000, 0.000, 0.500) and Si at (0.000, 0.500, 0.209).

=====

(2)
First-principles (PBE-GGA) data for a relaxed BaYZr2 crystal, as listed in the Alexandria database.

The value obtained for the total energy is -5.9940 eV/atom. For the formation energy from the elements, the calculation gives 377 meV per atom. For the density of states at the Fermi level, the calculation gives 10.24 states/eV per cell.

The space group is Cm (No. 8) and the conventional cell measures 10.400, 3.358 and 7.422 Å, with angles of 90.00, 94.03 and 90.00 degrees. The distinct sites, in fractional coordinates, are Ba at (0.000, 0.000, 0.000), Y at (0.238, 0.000, 0.677), Zr at (0.257, 0.500, 0.312) and Zr at (0.494, 0.000, 0.444).

=====

(3)
First-principles (PBE-GGA) data for a relaxed ZrCdP crystal, as listed in the Alexandria database.

The value obtained for the total energy is -5.1684 eV/atom. For the formation energy from the elements, the calculation gives -211 meV per atom. For the density of states at the Fermi level, the calculation gives 2.35 states/eV per cell.

The space group is P-6m2 (No. 187) and the conventional cell measures 4.3744, 4.3744 and 4.0337 Å, with angles of 90.00, 90.00 and 120.00 degrees. The distinct sites, in fractional coordinates, are Zr at (0.0000, 0.0000, 0.0000), Cd at (0.6667, 0.3333, 0.5000) and P at (0.3333, 0.6667, 0.0000).

=====

(4)
First-principles (PBE-GGA) data for a relaxed CaAc2Ag3Sn4 crystal, as listed in the Alexandria database.

The value obtained for the total energy is -3.9521 eV/atom. For the formation energy from the elements, the calculation gives -474 meV per atom. For the density of states at the Fermi level, the calculation gives 2.31 states/eV per cell.

The space group is P-4m2 (No. 115) and the conventional cell measures 4.682, 4.682 and 12.708 Å, with angles of 90.00, 90.00 and 90.00 degrees. The distinct sites, in fractional coordinates, are Ca at (0.000, 0.000, 0.000), Ac at (0.000, 0.500, 0.736), Ag at (0.000, 0.500, 0.368), Ag at (0.500, 0.500, 0.000), Sn at (0.000, 0.000, 0.500), Sn at (0.000, 0.500, 0.153) and Sn at (0.500, 0.500, 0.500).

=====

(5)
First-principles (PBE-GGA) data for a relaxed AcAgPb2O4 crystal, as listed in the Alexandria database.

For the energy relative to the elements, uncorrected, the calculation gives -1.4684 eV/atom. The value obtained for the total energy is -5.7445 eV/atom.

The space group is Fmm2 (No. 42) and the conventional cell measures 7.259, 10.914 and 7.357 Å, with angles of 90.00, 90.00 and 90.00 degrees. The distinct sites, in fractional coordinates, are Ac at (0.000, 0.000, 0.000), Ag at (0.000, 0.000, 0.506), Pb at (0.250, 0.250, 0.254), O at (0.000, 0.227, 0.964) and O at (0.247, 0.000, 0.254).

=====

(6)
First-principles (PBE-GGA) data for a relaxed TbTm12In3 crystal, as listed in the Alexandria database.

The value obtained for the total energy is -4.3402 eV/atom. For the formation energy from the elements, the calculation gives -184 meV per atom. For the density of states at the Fermi level, the calculation gives 17.06 states/eV per cell.

The space group is P4/mmm (No. 123) and the conventional cell measures 4.804, 4.804 and 19.498 Å, with angles of 90.00, 90.00 and 90.00 degrees. The distinct sites, in fractional coordinates, are Tb at (0.000, 0.000, 0.000), Tm at (0.000, 0.500, 0.130), Tm at (0.000, 0.500, 0.377), Tm at (0.500, 0.500, 0.000), Tm at (0.500, 0.500, 0.255), Tm at (0.500, 0.500, 0.500), In at (0.000, 0.000, 0.256) and In at (0.000, 0.000, 0.500).

=====

(7)
First-principles (PBE-GGA) data for a relaxed Th2MgGe4Pt3 crystal, as listed in the Alexandria database.

The value obtained for the total energy is -6.1576 eV/atom. For the formation energy from the elements, the calculation gives -855 meV per atom. For the density of states at the Fermi level, the calculation gives 3.09 states/eV per cell.

The space group is P-4m2 (No. 115) and the conventional cell measures 4.293, 4.293 and 10.717 Å, with angles of 90.00, 90.00 and 90.00 degrees. The distinct sites, in fractional coordinates, are Th at (0.000, 0.500, 0.243), Mg at (0.000, 0.000, 0.500), Ge at (0.000, 0.000, 0.000), Ge at (0.000, 0.500, 0.642), Ge at (0.500, 0.500, 0.000), Pt at (0.000, 0.500, 0.873) and Pt at (0.500, 0.500, 0.500).

=====

(8)
First-principles (PBE-GGA) data for a relaxed CaCrAu crystal, as listed in the Alexandria database.

The value obtained for the total energy is -4.8952 eV/atom. For the formation energy from the elements, the calculation gives 72 meV per atom. For the density of states at the Fermi level, the calculation gives 5.89 states/eV per cell.

The space group is F-43m (No. 216) and the conventional cell measures 6.764, 6.764 and 6.764 Å, with angles of 90.00, 90.00 and 90.00 degrees. The distinct sites, in fractional coordinates, are Ca at (0.000, 0.000, 0.000), Cr at (0.000, 0.000, 0.500) and Au at (0.250, 0.250, 0.250).

=====

(9)
First-principles (PBE-GGA) data for a relaxed K3TaC crystal, as listed in the Alexandria database.

The value obtained for the total energy is -2.7277 eV/atom. For the formation energy from the elements, the calculation gives 2146 meV per atom. For the density of states at the Fermi level, the calculation gives 13.23 states/eV per cell.

The space group is Pm-3m (No. 221) and the conventional cell measures 5.717, 5.717 and 5.717 Å, with angles of 90.00, 90.00 and 90.00 degrees. The distinct sites, in fractional coordinates, are K at (0.000, 0.000, 0.500), Ta at (0.500, 0.500, 0.500) and C at (0.000, 0.000, 0.000).

=====

(10)
First-principles (PBE-GGA) data for a relaxed ZrNiAg crystal, as listed in the Alexandria database.

The value obtained for the total energy is -5.7801 eV/atom. For the formation energy from the elements, the calculation gives -53 meV per atom. For the density of states at the Fermi level, the calculation gives 3.68 states/eV per cell.

The space group is P3m1 (No. 156) and the conventional cell measures 4.5047, 4.5047 and 2.9072 Å, with angles of 90.00, 90.00 and 120.00 degrees. The distinct sites, in fractional coordinates, are Zr at (0.0000, 0.0000, 0.0000), Ni at (0.3333, 0.6667, 0.4771) and Ag at (0.6667, 0.3333, 0.5042).

=====

(11)
First-principles (PBE-GGA) data for a relaxed LiCaErAg crystal, as listed in the Alexandria database.

The value obtained for the total energy is -2.9250 eV/atom. For the formation energy from the elements, the calculation gives -93 meV per atom. For the density of states at the Fermi level, the calculation gives 16.03 states/eV per cell.

The space group is F-43m (No. 216) and the conventional cell measures 7.353, 7.353 and 7.353 Å, with angles of 90.00, 90.00 and 90.00 degrees. The distinct sites, in fractional coordinates, are Li at (0.000, 0.000, 0.000), Ca at (0.250, 0.250, 0.750), Er at (0.250, 0.250, 0.250) and Ag at (0.000, 0.000, 0.500).

=====

(12)
First-principles (PBE-GGA) data for a relaxed AcLaGdCd crystal, as listed in the Alexandria database.

The value obtained for the total energy is -5.9918 eV/atom. For the formation energy from the elements, the calculation gives 16 meV per atom. For the density of states at the Fermi level, the calculation gives 26.36 states/eV per cell.

The space group is F-43m (No. 216) and the conventional cell measures 8.123, 8.123 and 8.123 Å, with angles of 90.00, 90.00 and 90.00 degrees. The distinct sites, in fractional coordinates, are Ac at (0.000, 0.000, 0.000), La at (0.250, 0.250, 0.750), Gd at (0.250, 0.250, 0.250) and Cd at (0.000, 0.000, 0.500).